Record 1
This record from Alexandria describes a geometry-optimized YSc2Cr structure. The functional is PBEsol.

The magnetic moment comes out at 5.3 μB/cell. The calculation puts the excess energy over the best structure of this formula in the dataset at 174.0 meV/atom. The value obtained for the calculated total energy is -7.164 eV/atom. As for the energy of formation from the pure elements: 9.319 kcal/mol of atoms. The crystal system is orthorhombic.

The space group is Cmmm (No. 65) and the conventional cell measures 6.2730, 8.5931 and 3.2869 Å, with angles of 90.00, 90.00 and 90.00 degrees. The inequivalent atoms are Y at (0.0000, 0.0000, 0.0000), Sc at (0.2500, 0.2500, 0.5000) and Cr at (0.0000, 0.5000, 0.0000).

Record 2
This record from Alexandria describes a geometry-optimized NaGa2Au4 structure. The functional is PBEsol.

The magnetic moment comes out at 0.0 μB/cell. The value obtained for the calculated total energy is -3.684 eV/atom. As for the energy of formation from the pure elements: -6.632 kcal/mol of atoms. The crystal system is monoclinic.

The space group is P2_1/c (No. 14) and the conventional cell measures 8.2297, 7.3560 and 9.2067 Å, with angles of 90.00, 116.38 and 90.00 degrees. The inequivalent atoms are Na at (0.2113, 0.0443, 0.1759), Ga at (0.0038, 0.1314, 0.3893), Ga at (0.4850, 0.6716, 0.5875), Au at (0.1469, 0.7184, 0.9232), Au at (0.1723, 0.1013, 0.8434), Au at (0.3684, 0.1021, 0.5398) and Au at (0.3750, 0.6494, 0.2663).

Record 3
This record from Alexandria describes a geometry-optimized Co2SiH2 structure. The functional is PBEsol.

The magnetic moment comes out at 0.0 μB/cell. The value obtained for the calculated total energy is -5.829 eV/atom. The crystal system is tetragonal.

The space group is I4/mmm (No. 139) and the conventional cell measures 2.7300, 2.7300 and 9.6384 Å, with angles of 90.00, 90.00 and 90.00 degrees. The inequivalent atoms are Co at (0.0000, 0.0000, 0.1378), Si at (0.0000, 0.0000, 0.5000) and H at (0.0000, 0.5000, 0.2500).

Record 4
This record from Alexandria describes a geometry-optimized BaBeFe3 structure. The functional is PBEsol.

The magnetic moment comes out at 5.8 μB/cell. The value obtained for the calculated total energy is -5.732 eV/atom. As for the energy of formation from the pure elements: 20.189 kcal/mol of atoms. The crystal system is cubic.

The space group is Pm-3m (No. 221) and the conventional cell measures 4.2489, 4.2489 and 4.2489 Å, with angles of 90.00, 90.00 and 90.00 degrees. The inequivalent atoms are Ba at (0.0000, 0.0000, 0.0000), Be at (0.5000, 0.5000, 0.5000) and Fe at (0.0000, 0.5000, 0.5000).

Record 5
This record from Alexandria describes a geometry-optimized FeAg2PdPt structure. The functional is PBEsol.

The magnetic moment comes out at 4.1 μB/cell. The value obtained for the calculated total energy is -4.190 eV/atom. As for the energy of formation from the pure elements: 34.858 kcal/mol of atoms. The crystal system is tetragonal.

The space group is P4/mmm (No. 123) and the conventional cell measures 4.9198, 4.9198 and 4.8011 Å, with angles of 90.00, 90.00 and 90.00 degrees. The inequivalent atoms are Fe at (0.0000, 0.0000, 0.0000), Ag at (0.0000, 0.5000, 0.5000), Pd at (0.5000, 0.5000, 0.0000) and Pt at (0.5000, 0.5000, 0.5000).

Record 6
This record from Alexandria describes a geometry-optimized Sr2Be2Si structure. The functional is PBEsol.

The magnetic moment comes out at 0.0 μB/cell. The value obtained for the calculated total energy is -3.251 eV/atom. The value obtained for the uncorrected formation energy is 235 meV/atom. The crystal system is tetragonal.

The space group is I4/mmm (No. 139) and the conventional cell measures 5.9203, 5.9203 and 6.4094 Å, with angles of 90.00, 90.00 and 90.00 degrees. The inequivalent atoms are Sr at (0.0000, 0.5000, 0.2500), Be at (0.0000, 0.0000, 0.1566) and Si at (0.0000, 0.0000, 0.5000).

Record 7
This record from Alexandria describes a geometry-optimized La3Y structure. The functional is PBEsol.

The magnetic moment comes out at 0.0 μB/cell. The value obtained for the calculated total energy is -5.680 eV/atom. As for the energy of formation from the pure elements: 0.808 kcal/mol of atoms. The crystal system is orthorhombic.

The space group is Pmm2 (No. 25) and the conventional cell measures 3.6332, 5.8871 and 6.2663 Å, with angles of 90.00, 90.00 and 90.00 degrees. The inequivalent atoms are La at (0.0000, 0.0000, 0.0000), La at (0.0000, 0.5000, 0.3294), La at (0.5000, 0.0000, 0.4962) and Y at (0.5000, 0.5000, 0.8269).

Record 8
This record from Alexandria describes a geometry-optimized ScTa2BTe structure. The functional is PBEsol.

The magnetic moment comes out at 0.0 μB/cell. The value obtained for the calculated total energy is -8.174 eV/atom. The value obtained for the uncorrected formation energy is 275 meV/atom. The crystal system is tetragonal.

The space group is P4/mmm (No. 123) and the conventional cell measures 4.2878, 4.2878 and 5.0210 Å, with angles of 90.00, 90.00 and 90.00 degrees. The inequivalent atoms are Sc at (0.0000, 0.0000, 0.0000), Ta at (0.0000, 0.5000, 0.5000), B at (0.5000, 0.5000, 0.5000) and Te at (0.5000, 0.5000, 0.0000).